Record 1
A plane-wave DFT calculation with PBE-GGA was carried out for Sm2ZnAu3 after structural relaxation.

Output
E_form (eV per atom): -0.72
N(E_F) (states/eV per atom): 0.72
Polymorph energy (0 for the lowest one) (eV per atom): 0.0049
Spin magnetization (μB per atom): 0.00

Geometry as POSCAR:
```
Sm2ZnAu3
1.0
5.864 -0.677 0.000
-0.904 5.833 0.000
-2.480 -2.578 8.025
Sm Zn Au
4 2 6
direct
0.250 0.750 0.500
0.754 0.754 0.000
0.750 0.250 0.500
0.246 0.246 0.000
0.667 0.667 0.335
0.333 0.333 0.665
0.348 0.826 0.173
0.174 0.652 0.827
0.652 0.174 0.827
0.826 0.348 0.173
0.171 0.171 0.342
0.829 0.829 0.658
```

---

Record 2
A plane-wave DFT calculation with PBE-GGA was carried out for GeAsPBr2 after structural relaxation.

Output
E_form (uncorrected) (eV/atom): 0.714
N(E_F) (states/eV per atom): 0.67
Polymorph energy (0 for the lowest one) (eV per atom): 0.2015
Spin magnetization (μB per atom): 0.14

Geometry as POSCAR:
```
GeAsPBr2
1.0
-3.846 -1.699 -2.952
0.822 -4.784 1.682
-3.503 0.834 4.083
P As Ge Br
1 1 1 2
direct
0.500 0.500 0.500
0.000 0.000 0.500
0.000 0.000 0.000
0.000 0.500 0.000
0.500 0.000 0.000
```

---

Record 3
A plane-wave DFT calculation with PBE-GGA was carried out for Eu3As2S8 after structural relaxation.

Output
E_form (uncorrected) (eV/atom): -1.031
N(E_F) (states/eV per atom): 4.16
Spin magnetization (μB per atom): 1.61

Geometry as POSCAR:
```
Eu3As2S8
1.0
-5.245 4.721 7.941
-10.279 -0.861 2.539
-4.307 -4.462 8.625
Eu As S
6 4 16
direct
0.429 0.071 0.750
0.929 0.250 0.571
0.571 0.929 0.250
0.750 0.429 0.071
0.071 0.750 0.429
0.250 0.571 0.929
0.159 0.159 0.159
0.341 0.341 0.341
0.659 0.659 0.659
0.841 0.841 0.841
0.057 0.611 0.776
0.111 0.557 0.276
0.579 0.579 0.579
0.889 0.443 0.724
0.079 0.079 0.079
0.389 0.224 0.943
0.421 0.421 0.421
0.443 0.724 0.889
0.276 0.111 0.557
0.943 0.389 0.224
0.224 0.943 0.389
0.921 0.921 0.921
0.557 0.276 0.111
0.776 0.057 0.611
0.724 0.889 0.443
0.611 0.776 0.057
```

---

Record 4
A plane-wave DFT calculation with PBE-GGA was carried out for Cs2PBrF6 after structural relaxation.

Output
E_form (uncorrected) (eV/atom): -2.580
N(E_F) (states/eV per atom): 0.00
Spin magnetization (μB per atom): 0.01

Geometry as POSCAR:
```
Cs2PBrF6
1.0
8.130 1.142 1.021
5.070 6.321 0.921
5.158 2.830 5.801
Cs P Br F
2 1 1 6
direct
0.545 0.554 0.280
0.087 0.078 0.823
0.316 0.316 0.052
0.816 0.816 0.551
0.412 0.338 0.150
0.219 0.087 0.347
0.020 0.543 0.150
0.413 0.545 0.756
0.613 0.090 0.953
0.220 0.294 0.953
```

---

Record 5
A plane-wave DFT calculation with PBE-GGA was carried out for Li2YTe after structural relaxation.

Output
E_form (uncorrected) (eV/atom): -0.581
N(E_F) (states/eV per atom): 0.67
Polymorph energy (0 for the lowest one) (eV per atom): 0.0068
Spin magnetization (μB per atom): 0.00

Geometry as POSCAR:
```
Li2YTe
1.0
6.050 0.004 0.002
4.507 4.037 0.002
4.507 1.725 3.649
Li Te Y
2 1 1
direct
0.955 0.955 0.955
0.263 0.263 0.263
0.537 0.537 0.537
0.744 0.744 0.744
```

---

Record 6
A plane-wave DFT calculation with PBE-GGA was carried out for YIn2Cl after structural relaxation.

Output
E_form (uncorrected) (eV/atom): -0.607
N(E_F) (states/eV per atom): 0.58
Polymorph energy (0 for the lowest one) (eV per atom): 0.1250
Spin magnetization (μB per atom): 0.00

Geometry as POSCAR:
```
YIn2Cl
1.0
-4.629 -1.660 -1.518
1.521 -1.525 -2.970
0.985 -5.072 2.542
Cl In Y
1 2 1
direct
0.500 0.630 0.697
0.000 0.043 0.017
0.500 0.207 0.254
0.000 0.621 0.532
```

---

Record 7
A plane-wave DFT calculation with PBE-GGA was carried out for Mg5Sb4 after structural relaxation.

Output
E_form (uncorrected) (eV/atom): -0.199
N(E_F) (states/eV per atom): 0.30
Polymorph energy (0 for the lowest one) (eV per atom): 0.0000
Spin magnetization (μB per atom): 0.00

Geometry as POSCAR:
```
Mg5Sb4
1.0
8.695 0.000 0.000
-4.348 7.531 0.000
0.000 0.000 7.029
Sb Mg
8 10
direct
0.000 0.000 0.000
0.000 0.000 0.500
0.000 0.419 0.250
0.581 0.581 0.250
0.419 0.000 0.250
0.000 0.581 0.750
0.419 0.419 0.750
0.581 0.000 0.750
0.000 0.738 0.250
0.262 0.262 0.250
0.738 0.000 0.250
0.000 0.262 0.750
0.738 0.738 0.750
0.262 0.000 0.750
0.667 0.333 0.000
0.333 0.667 0.500
0.333 0.667 0.000
0.667 0.333 0.500
```

---

Record 8
A plane-wave DFT calculation with PBE-GGA was carried out for CuGeNF2 after structural relaxation.

Output
E_form (uncorrected) (eV/atom): 0.413
N(E_F) (states/eV per atom): 0.45
Polymorph energy (0 for the lowest one) (eV per atom): 0.8442
Spin magnetization (μB per atom): 0.07

Geometry as POSCAR:
```
CuGeNF2
1.0
4.575 0.000 0.000
0.000 3.548 0.000
0.000 0.000 4.575
Ge N Cu F
1 1 1 2
direct
0.000 0.500 0.000
0.000 0.000 0.000
0.500 0.500 0.500
0.000 0.000 0.500
0.500 0.000 0.000
```

---

Record 9
A plane-wave DFT calculation with PBE-GGA was carried out for SmHo3Er6Sc2 after structural relaxation.

Output
E_form (eV per atom): 0.04
N(E_F) (states/eV per atom): 1.43
Spin magnetization (μB per atom): 0.00

Geometry as POSCAR:
```
SmHo3Er6Sc2
1.0
6.024 0.002 0.004
-3.009 5.219 0.004
-1.008 -1.745 11.364
Sm Ho Er Sc
1 3 6 2
direct
0.000 0.000 0.000
0.167 0.833 0.500
0.833 0.167 0.500
0.500 0.500 0.500
0.917 0.582 0.754
0.747 0.747 0.246
0.083 0.418 0.246
0.582 0.917 0.754
0.253 0.253 0.754
0.418 0.083 0.246
0.333 0.667 0.000
0.667 0.333 0.000
```

---

Record 10
A plane-wave DFT calculation with PBE-GGA was carried out for RbTlI2 after structural relaxation.

Output
E_form (uncorrected) (eV/atom): -1.042
N(E_F) (states/eV per atom): 0.00
Polymorph energy (0 for the lowest one) (eV per atom): 0.0338
Spin magnetization (μB per atom): 0.00

Geometry as POSCAR:
```
RbTlI2
1.0
-3.621 -3.550 -4.437
-5.385 -4.049 0.109
-7.978 1.370 -2.945
Rb Tl I
1 1 2
direct
0.801 0.246 0.572
0.301 0.746 0.082
0.042 0.487 0.671
0.560 0.005 0.153
```

---

Record 11
A plane-wave DFT calculation with PBE-GGA was carried out for Ac6Pt2SI3 after structural relaxation.

Output
E_form (uncorrected) (eV/atom): -1.267
N(E_F) (states/eV per atom): 0.96
Spin magnetization (μB per atom): 0.00

Geometry as POSCAR:
```
Ac6Pt2SI3
1.0
-4.680 -1.050 -6.171
0.677 -5.636 5.372
-5.063 5.530 4.547
Ac Pt S I
6 2 1 3
direct
0.936 0.590 0.810
0.717 0.717 0.189
0.064 0.410 0.190
0.590 0.936 0.810
0.283 0.283 0.811
0.410 0.064 0.190
0.333 0.667 0.000
0.667 0.333 0.000
0.000 0.000 0.000
0.162 0.838 0.500
0.838 0.162 0.500
0.500 0.500 0.500
```

---

Record 12
A plane-wave DFT calculation with PBE-GGA was carried out for LaZrTl2 after structural relaxation.

Output
E_form (eV per atom): -0.07
N(E_F) (states/eV per atom): 0.72
Spin magnetization (μB per atom): 0.00

Geometry as POSCAR:
```
LaZrTl2
1.0
-3.286 2.761 4.398
-4.158 -3.471 2.904
5.950 -0.482 -1.462
La Tl Zr
1 2 1
direct
0.750 0.250 0.500
0.000 0.000 0.000
0.250 0.750 0.500
0.500 0.500 0.000
```

---

Record 13
A plane-wave DFT calculation with PBE-GGA was carried out for Li12Se5Cl3 after structural relaxation.

Output
E_form (uncorrected) (eV/atom): -1.127
N(E_F) (states/eV per atom): 0.81
Spin magnetization (μB per atom): 0.05

Geometry as POSCAR:
```
Li12Se5Cl3
1.0
-5.825 10.452 5.271
-3.088 -10.659 6.914
12.964 1.693 0.157
Cl Se Li
12 20 48
direct
0.750 0.375 0.125
0.875 0.750 0.125
0.375 0.750 0.625
0.250 0.125 0.375
0.875 0.125 0.250
0.375 0.625 0.250
0.625 0.375 0.750
0.125 0.875 0.750
0.750 0.875 0.625
0.625 0.250 0.375
0.125 0.250 0.875
0.250 0.625 0.875
0.125 0.375 0.250
0.000 0.500 0.000
0.000 0.000 0.000
0.375 0.250 0.125
0.500 0.000 0.500
0.500 0.500 0.000
0.125 0.750 0.375
0.750 0.125 0.875
0.750 0.625 0.375
0.375 0.125 0.750
0.625 0.875 0.250
0.500 0.500 0.500
0.500 0.000 0.000
0.000 0.000 0.500
0.250 0.375 0.625
0.250 0.875 0.125
0.000 0.500 0.500
0.875 0.250 0.625
0.625 0.750 0.875
0.875 0.625 0.750
0.717 0.107 0.041
0.324 0.541 0.434
0.959 0.393 0.283
0.541 0.217 0.107
0.610 0.717 0.676
0.959 0.566 0.176
0.324 0.783 0.390
0.066 0.890 0.107
0.566 0.959 0.676
0.717 0.610 0.176
0.783 0.459 0.393
0.824 0.934 0.041
0.107 0.717 0.541
0.393 0.434 0.110
0.110 0.934 0.393
0.390 0.107 0.566
0.110 0.176 0.217
0.459 0.676 0.066
0.824 0.890 0.283
0.107 0.390 0.066
0.393 0.959 0.783
0.566 0.607 0.390
0.934 0.824 0.541
0.783 0.324 0.890
0.434 0.393 0.610
0.066 0.176 0.459
0.217 0.676 0.110
0.176 0.110 0.717
0.607 0.041 0.217
0.893 0.610 0.934
0.541 0.324 0.934
0.610 0.893 0.434
0.890 0.824 0.783
0.890 0.066 0.607
0.893 0.283 0.459
0.176 0.066 0.959
0.607 0.566 0.890
0.434 0.041 0.324
0.283 0.390 0.824
0.217 0.541 0.607
0.934 0.110 0.893
0.676 0.217 0.610
0.459 0.783 0.893
0.041 0.434 0.824
0.390 0.283 0.324
0.041 0.607 0.717
0.676 0.459 0.566
0.283 0.893 0.959
```

---

Record 14
A plane-wave DFT calculation with PBE-GGA was carried out for AgGeRh2 after structural relaxation.

Output
E_form (eV per atom): 0.06
N(E_F) (states/eV per atom): 0.77
Spin magnetization (μB per atom): 0.00

Geometry as POSCAR:
```
AgGeRh2
1.0
-3.795 -5.779 1.284
1.655 0.429 6.821
-3.246 -1.150 4.485
Ge Rh Ag
2 4 2
direct
0.500 0.500 0.000
0.250 0.750 0.500
0.579 0.125 0.250
0.171 0.625 0.250
0.375 0.421 0.750
0.875 0.829 0.750
0.000 0.000 0.000
0.750 0.250 0.500
```

---

Record 15
A plane-wave DFT calculation with PBE-GGA was carried out for ZrTi2PtO after structural relaxation.

Output
E_form (uncorrected) (eV/atom): -1.460
N(E_F) (states/eV per atom): 0.90
Spin magnetization (μB per atom): 0.12

Geometry as POSCAR:
```
ZrTi2PtO
1.0
-3.853 0.045 -1.373
1.082 -2.419 -3.116
-0.926 -3.607 2.479
O Zr Pt Ti
1 1 1 2
direct
0.000 0.000 0.000
0.000 0.000 0.500
0.500 0.500 0.500
0.000 0.500 0.000
0.500 0.000 0.000
```

---

Record 16
A plane-wave DFT calculation with PBE-GGA was carried out for RbTaCd2In after structural relaxation.

Output
E_form (eV per atom): 1.46
N(E_F) (states/eV per atom): 1.27
Spin magnetization (μB per atom): 0.80

Geometry as POSCAR:
```
RbTaCd2In
1.0
5.518 0.000 0.000
0.000 6.265 0.000
0.000 0.000 5.518
Cd In Rb Ta
2 1 1 1
direct
0.000 0.000 0.500
0.500 0.000 0.000
0.000 0.000 0.000
0.000 0.500 0.000
0.500 0.500 0.500
```

---

Record 17
A plane-wave DFT calculation with PBE-GGA was carried out for ReSiPb2 after structural relaxation.

Output
E_form (uncorrected) (eV/atom): 0.997
N(E_F) (states/eV per atom): 0.86
Spin magnetization (μB per atom): 0.00

Geometry as POSCAR:
```
ReSiPb2
1.0
-1.198 2.280 2.069
0.901 -1.880 2.593
7.036 3.568 0.143
Pb Re Si
2 1 1
direct
0.000 0.000 0.026
0.000 0.000 0.474
0.500 0.500 0.250
0.500 0.500 0.750
```

---

Record 18
A plane-wave DFT calculation with PBE-GGA was carried out for ErSc2Pd after structural relaxation.

Output
E_form (eV per atom): -0.44
N(E_F) (states/eV per atom): 1.56
Polymorph energy (0 for the lowest one) (eV per atom): 0.0165
Spin magnetization (μB per atom): 0.00

Geometry as POSCAR:
```
ErSc2Pd
1.0
3.582 -0.001 0.000
-1.792 5.858 0.000
0.000 0.000 8.846
Er Sc Pd
2 4 2
direct
0.941 0.881 0.250
0.059 0.119 0.750
0.365 0.730 0.559
0.635 0.270 0.441
0.365 0.730 0.941
0.635 0.270 0.059
0.761 0.523 0.750
0.239 0.477 0.250
```

---

Record 19
A plane-wave DFT calculation with PBE-GGA was carried out for Ti2NbAl after structural relaxation.

Output
E_form (eV per atom): -0.02
N(E_F) (states/eV per atom): 0.84
Spin magnetization (μB per atom): 0.00

Geometry as POSCAR:
```
Ti2NbAl
1.0
2.543 0.000 1.140
1.792 5.157 -0.590
-0.843 -1.226 5.286
Ti Nb Al
2 1 1
direct
0.930 0.333 0.806
0.930 0.806 0.333
0.174 0.826 0.826
0.672 0.328 0.328
```

---

Record 20
A plane-wave DFT calculation with PBE-GGA was carried out for Y2CdSn after structural relaxation.

Output
E_form (eV per atom): -0.20
N(E_F) (states/eV per atom): 0.74
Spin magnetization (μB per atom): 0.00

Geometry as POSCAR:
```
Y2CdSn
1.0
-7.057 -0.194 4.241
-0.069 -8.221 -0.491
-1.774 -4.400 4.844
Y Sn Cd
4 2 2
direct
0.625 0.125 0.250
0.125 0.625 0.250
0.375 0.375 0.750
0.875 0.875 0.750
0.000 0.000 0.000
0.750 0.250 0.500
0.500 0.500 0.000
0.250 0.750 0.500
```